# 1
The following is a DFT calculation (PBE-GGA) of a relaxed structure of Cu2SiF.

Properties
The calculation puts the calculated volume at 12.5 Å³/atom. The energy above the most stable polymorph in this dataset is 149 meV per atom. For the raw formation energy, the calculation gives -0.114 eV per atom. Its crystal system is cubic.

abc: 4.137 4.137 4.137
angles: 60.00 60.00 60.00
Element x y z (fractional)
Cu: 0.250 0.250 0.250
Cu: 0.750 0.750 0.750
Si: 0.000 0.000 0.000
F: 0.500 0.500 0.500

***

# 2
The following is a DFT calculation (PBE-GGA) of a relaxed structure of SrVBr2.

Properties
The calculation puts the calculated volume at 32.2 Å³/atom. The energy above the most stable polymorph in this dataset is 0 meV per atom. For the raw formation energy, the calculation gives -0.532 eV per atom. Its crystal system is tetragonal.

abc: 9.364 9.364 9.364
angles: 145.85 145.85 49.07
Element x y z (fractional)
Sr: 0.000 0.000 0.000
Sr: 0.750 0.250 0.500
V: 0.250 0.750 0.500
V: 0.500 0.500 0.000
Br: 0.174 0.625 0.049
Br: 0.375 0.424 0.549
Br: 0.576 0.125 0.951
Br: 0.875 0.826 0.451

***

# 3
The following is a DFT calculation (PBE-GGA) of a relaxed structure of LaIOF2.

Properties
The calculation puts the calculated volume at 21.8 Å³/atom. The energy above the most stable polymorph in this dataset is 1203 meV per atom. For the raw formation energy, the calculation gives -1.133 eV per atom. Its crystal system is tetragonal.

abc: 5.187 5.187 4.045
angles: 90.00 90.00 90.00
Element x y z (fractional)
La: 0.000 0.000 0.000
I: 0.500 0.500 0.500
O: 0.500 0.500 0.000
F: 0.000 0.500 0.500
F: 0.500 0.000 0.500

***

# 4
The following is a DFT calculation (PBE-GGA) of a relaxed structure of Pa2PRu3.

Properties
The calculation puts the calculated volume at 17.0 Å³/atom. Its crystal system is trigonal. The calculated formation energy comes out at -0.73 eV per atom.

abc: 4.971 4.971 4.971
angles: 68.33 68.33 68.33
Element x y z (fractional)
Pa: 0.125 0.125 0.125
Pa: 0.875 0.875 0.875
P: 0.500 0.500 0.500
Ru: 0.000 0.500 0.500
Ru: 0.500 0.000 0.500
Ru: 0.500 0.500 0.000

***

Respective raw total energy values: -15.9, -32.5, -20.8, -56.6 eV/cell.